VASP calculation (PBE with a Hubbard U) on crystalline K2Pr2MoO6 at its relaxed geometry.

Cell lengths 6.0548, 6.0548, 6.6385 Å; angles 97.90, 97.90, 119.11 degrees
Last column: nearest neighbours and their distance in Å.
Atoms (fractional coordinates):
O 0.9544 0.6549 0.3286  1 Mo 2.11
O 0.3451 0.0456 0.6714  1 Mo 2.11
Pr 0.6633 0.3367 0.5000  6 O 2.39-2.44
O 0.0456 0.3451 0.6714  1 Mo 2.11
O 0.7522 0.7522 0.6810  1 Mo 2.18, 2 Pr 2.39
K 0.8447 0.1553 0.0000  4 O 2.76-2.77
O 0.6549 0.9544 0.3286  1 Mo 2.11
Mo 0.0000 0.0000 0.5000  6 O 2.11-2.18
O 0.2478 0.2478 0.3190  1 Mo 2.18, 2 Pr 2.39
Pr 0.3367 0.6633 0.5000  6 O 2.39-2.44
K 0.1553 0.8447 0.0000  4 O 2.76-2.77

Output
SG: C2/m, No. 12
E_tot: -0.24800 hartree per atom